This record from Alexandria via LeMat-Bulk describes K3Ni2O4 at its PBEsol-relaxed geometry. The functional is SCAN.

The total magnetic moment is 1.0 μB per formula unit. As for the density of states at the Fermi level: 3.8 states/eV/f.u. As for the volume: 564 Å³ per cell. The calculation puts the uncorrected formation energy at -1445 meV per atom.

The space group is Cmcm (No. 63) and the conventional cell measures 5.9785, 8.9649 and 10.5141 Å, with angles of 90.00, 90.00 and 90.00 degrees. The distinct sites, in fractional coordinates, are K at (0.0000, 0.1517, 0.0706), K at (0.0000, 0.2102, 0.7500), Ni at (0.0000, 0.4340, 0.2500), Ni at (0.0000, 0.5000, 0.0000) and O at (0.2021, 0.4344, 0.1183).